A geometry-optimized Be2InSb structure. Source: Alexandria via LeMat-Bulk, functional GGA-PBE.

Cell lengths 2.986, 3.282, 7.858 Å; angles 90.00, 90.00, 90.00 degrees
Fractional positions:
1 Be 0.000 0.000 0.000
2 Be 0.500 0.500 0.105
3 In 0.000 0.000 0.345
4 Sb 0.500 0.500 0.780

Properties
- Energy above the lowest structure with this stoichiometry: 184 meV per atom
- ΔE_f (raw): 0.452 eV per atom
- Space group: No. 25
- Calculated volume: 77.0 Å³ per cell
- Energy: -3.13 eV per atom